Computed, not measured: crystalline ZrCdRe at its relaxed geometry at the PBE level of DFT.

Summary:
- Space group: I4mm, No. 107
- E_form: 347.5 meV/atom
- Excess energy over the best structure of this formula in the dataset: 46 kJ/mol of formula units

a b c (Å): 7.271 7.271 7.271
angles (deg): 157.40 157.40 32.18
Atoms (fractional coordinates):
Cd 0.993 0.993 0.000
Re 0.334 0.334 0.000
Zr 0.674 0.674 0.000